(1)
## Ge2MoHCl (PBE)

Data for an optimized crystal structure of Ge2MoHCl.

a = 5.139 Å, b = 2.919 Å, c = 5.139 Å
α = 90.00°, β = 90.00°, γ = 90.00°
Atoms (fractional coordinates):
Mo: 0.500 0.500 0.500
Ge: 0.000 0.000 0.500
Ge: 0.500 0.000 0.000
H: 0.000 0.500 0.000
Cl: 0.000 0.000 0.000

Output
The symmetry is No. 123. Its size of the total moment is 0.0 μB/f.u. Its final energy is -21.9 eV per cell.



(2)
## SrBeTc2 (PBE)

Data for an optimized crystal structure of SrBeTc2.

a = 5.335 Å, b = 5.335 Å, c = 4.967 Å
α = 73.10°, β = 73.10°, γ = 30.33°
Atoms (fractional coordinates):
Tc: 0.457 0.457 0.568
Tc: 0.043 0.043 0.932
Sr: 0.250 0.250 0.250
Be: 0.750 0.750 0.750

Output
For the formation energy, the calculation gives 670 meV/atom. The symmetry is No. 12. Its size of the total moment is 0.0 μB/f.u. Its final energy is -23.5 eV per cell.



(3)
## RbMg2B (PBE)

Data for an optimized crystal structure of RbMg2B.

a = 4.512 Å, b = 6.505 Å, c = 8.647 Å
α = 73.82°, β = 75.81°, γ = 76.31°
Atoms (fractional coordinates):
Rb: 0.139 0.268 0.400
Rb: 0.861 0.732 0.600
B: 0.081 0.968 0.077
B: 0.919 0.032 0.923
Mg: 0.786 0.340 0.040
Mg: 0.214 0.660 0.960
Mg: 0.419 0.178 0.846
Mg: 0.581 0.822 0.154

Output
For the formation energy, the calculation gives 343 meV/atom. The symmetry is No. 2. Its size of the total moment is 0.0 μB/f.u. Its final energy is -18.9 eV per cell.